1.
The following is a SCAN calculation of a crystal of YHg2Ru relaxed with PBEsol, from Alexandria via LeMat-Bulk.

abc: 6.8035 6.8035 6.8035
angles: 90.00 90.00 90.00
Last column: nearest neighbours and their distance in Å.
Space group F-43m (No. 216)
One atom of each set of equivalent atoms:
1 Y 0.0000 0.0000 0.0000 [4 per cell]  4 Ru 2.95, 4 Hg 2.95
2 Hg 0.0000 0.0000 0.5000 [4 per cell]  4 Hg 2.95, 4 Ru 2.95
3 Hg 0.2500 0.2500 0.2500 [4 per cell]  4 Y 2.95, 4 Hg 2.95
4 Ru 0.2500 0.2500 0.7500 [4 per cell]  4 Hg 2.95, 4 Y 2.95

Values from the calculation:
DOS at the Fermi energy = 0.3355 states/eV/atom
Total magnetic moment = 3.9 μB per cell


2.
The following is a SCAN calculation of a crystal of YHg2Ru relaxed with PBEsol, from Alexandria via LeMat-Bulk.

abc: 4.1658 4.1658 8.8657
angles: 90.00 90.00 90.00
Last column: nearest neighbours and their distance in Å.
Space group I4/mmm (No. 139)
One atom of each set of equivalent atoms:
1 Y 0.0000 0.0000 0.0000 [2 per cell]  4 Ru 2.95, 8 Hg 3.04
2 Hg 0.0000 0.5000 0.2500 [4 per cell]  4 Hg 2.95, 4 Y 3.04, 4 Ru 3.04
3 Ru 0.0000 0.0000 0.5000 [2 per cell]  4 Y 2.95, 8 Hg 3.04

Values from the calculation:
DOS at the Fermi energy = 0.4650 states/eV/atom
Total magnetic moment = 0.0 μB per cell


Energetically preferred structure: 2 | next structure: +219 meV per atom